Entry w
The following is a DFT calculation (PBE) of a relaxed Ce4Co2Os crystal.

Output
- M_tot: 0.000 μB/atom
- SG: I4_1/amd, No. 141

a b c (Å): 7.4838 7.4838 7.4838
angles (deg): 110.31 110.31 107.80
With the nearest neighbours (Å) after each atom.
Atoms (fractional coordinates):
Ce: 0.2005 0.2586 0.5581  3 Co 2.69-2.73, 1 Os 2.72
Ce: 0.2005 0.6424 0.9419  3 Co 2.69-2.73, 1 Os 2.72
Ce: 0.2586 0.2005 0.0581  3 Co 2.69-2.73, 1 Os 2.72
Ce: 0.3576 0.7995 0.5581  3 Co 2.69-2.73, 1 Os 2.72
Ce: 0.6424 0.2005 0.4419  3 Co 2.69-2.73, 1 Os 2.72
Ce: 0.7414 0.7995 0.9419  3 Co 2.69-2.73, 1 Os 2.72
Ce: 0.7995 0.3576 0.0581  3 Co 2.69-2.73, 1 Os 2.72
Ce: 0.7995 0.7414 0.4419  3 Co 2.69-2.73, 1 Os 2.72
Co: 0.0000 0.5000 0.5000  6 Ce 2.69-2.73
Co: 0.5000 0.0000 0.0000  6 Ce 2.69-2.73
Co: 0.5000 0.5000 0.0000  6 Ce 2.69-2.73
Co: 0.5000 0.5000 0.5000  6 Ce 2.69-2.73
Os: 0.1250 0.8750 0.2500  4 Ce 2.72
Os: 0.8750 0.1250 0.7500  4 Ce 2.72



Entry x
The following is a DFT calculation (PBE) of a relaxed Ce4Co2Os crystal.

Output
- M_tot: 0.000 μB/atom
- SG: Cc, No. 9

a b c (Å): 7.8524 7.8524 6.6754
angles (deg): 108.05 108.05 116.18
With the nearest neighbours (Å) after each atom.
Atoms (fractional coordinates):
Ce: 0.0224 0.9776 0.5000  3 Co 2.82-2.90, 2 Os 2.94-3.04
Ce: 0.0911 0.5188 0.3570  3 Co 2.74-2.89, 1 Os 2.95
Ce: 0.3250 0.8844 0.1958  2 Co 2.48-2.70, 1 Os 2.77
Ce: 0.4796 0.6051 0.8973  1 Co 2.40
Ce: 0.5188 0.0911 0.8570  3 Co 2.74-2.89, 1 Os 2.95
Ce: 0.6051 0.4796 0.3973  1 Co 2.40
Ce: 0.8844 0.3250 0.6958  2 Co 2.48-2.70, 1 Os 2.77
Ce: 0.9776 0.0224 0.0000  3 Co 2.82-2.90, 2 Os 2.94-3.04
Co: 0.0914 0.7553 0.7570  2 Ce 2.48-2.74
Co: 0.2609 0.4322 0.0516  1 Ce 2.40
Co: 0.4322 0.2609 0.5516  1 Ce 2.40
Co: 0.7553 0.0914 0.2570  2 Ce 2.48-2.74
Os: 0.6024 0.8412 0.5178  5 Ce 2.71-2.98, 1 Co 2.87
Os: 0.8412 0.6024 0.0178  5 Ce 2.71-2.98, 1 Co 2.87



Which of them is least stable? Easy: entry w.



Entry w
The following is a DFT calculation (PBE) of a relaxed CeCoOs crystal.

Output
- M_tot: 0.000 μB/atom
- SG: Imma, No. 74

a b c (Å): 5.2527 5.2527 5.2527
angles (deg): 122.00 119.94 88.34
With the nearest neighbours (Å) after each atom.
Atoms (fractional coordinates):
Ce: 0.3756 0.1256 0.2500  6 Co 3.02-3.11, 6 Os 3.07-3.10, 4 Ce 3.16-3.24
Ce: 0.6244 0.8744 0.7500  6 Co 3.02-3.11, 6 Os 3.07-3.10, 4 Ce 3.16-3.24
Co: 0.0000 0.5000 0.5000  4 Os 2.63, 2 Co 2.63
Co: 0.5000 0.5000 0.0000  4 Os 2.63, 2 Co 2.63
Os: 0.0000 0.0000 0.5000  2 Os 2.55, 4 Co 2.63
Os: 0.0000 0.5000 0.0000  2 Os 2.55, 4 Co 2.63



Entry x
The following is a DFT calculation (PBE) of a relaxed CeCoOs crystal.

Output
- M_tot: 0.367 μB/atom
- SG: I4mm, No. 107

a b c (Å): 6.4946 6.4946 6.4946
angles (deg): 154.74 154.74 36.03
With the nearest neighbours (Å) after each atom.
Atoms (fractional coordinates):
Ce: 0.0000 0.0000 0.0000  4 Ce 2.84, 4 Co 3.04, 4 Os 3.15
Co: 0.6852 0.6852 0.0000  4 Os 2.48
Os: 0.3032 0.3032 0.0000  4 Co 2.48



Which of them is least stable? Easy: entry x.



Entry w
The following is a DFT calculation (PBE) of a relaxed CeCoOs crystal.

Output
- M_tot: 0.303 μB/atom
- SG: P-6m2, No. 187

a b c (Å): 4.0854 4.0854 3.9931
angles (deg): 90.00 90.00 120.00
With the nearest neighbours (Å) after each atom.
Atoms (fractional coordinates):
Ce: 0.0000 0.0000 0.0000  6 Co 3.09, 6 Os 3.09
Co: 0.6667 0.3333 0.5000  3 Os 2.36
Os: 0.3333 0.6667 0.5000  3 Co 2.36



Entry x
The following is a DFT calculation (PBE) of a relaxed CeCoOs crystal.

Output
- M_tot: 0.205 μB/atom
- SG: P4_12_12, No. 92

a b c (Å): 6.5812 6.5812 6.0139
angles (deg): 90.00 90.00 90.00
With the nearest neighbours (Å) after each atom.
Atoms (fractional coordinates):
Ce: 0.2433 0.2433 0.0000  4 Os 2.94-3.26, 4 Co 3.09-3.17
Ce: 0.2567 0.7433 0.2500  4 Os 2.94-3.26, 4 Co 3.09-3.17
Ce: 0.7433 0.2567 0.7500  4 Os 2.94-3.26, 4 Co 3.09-3.17
Ce: 0.7567 0.7567 0.5000  4 Os 2.94-3.26, 4 Co 3.09-3.17
Co: 0.1344 0.1344 0.5000  3 Os 2.26-2.28
Co: 0.3656 0.6344 0.7500  3 Os 2.26-2.28
Co: 0.6344 0.3656 0.2500  3 Os 2.26-2.28
Co: 0.8656 0.8656 0.0000  3 Os 2.26-2.28
Os: 0.1208 0.8792 0.7500  3 Co 2.26-2.28
Os: 0.3792 0.3792 0.5000  3 Co 2.26-2.28
Os: 0.6208 0.6208 0.0000  3 Co 2.26-2.28
Os: 0.8792 0.1208 0.2500  3 Co 2.26-2.28



Which of them is least stable? Easy: entry x.



Entry w
The following is a DFT calculation (PBE) of a relaxed Ce3CoOs2 crystal.

Output
- M_tot: 0.000 μB/atom
- SG: C2/c, No. 15

a b c (Å): 6.9098 6.9098 7.4754
angles (deg): 104.62 104.62 47.11
With the nearest neighbours (Å) after each atom.
Atoms (fractional coordinates):
Ce: 0.1068 0.8932 0.7500  2 Co 2.67-2.85, 2 Os 2.74
Ce: 0.2379 0.4287 0.3744  1 Co 2.54, 1 Os 2.77
Ce: 0.4287 0.2379 0.8744  1 Co 2.54, 1 Os 2.77
Ce: 0.5713 0.7621 0.1256  1 Co 2.54, 1 Os 2.77
Ce: 0.7621 0.5713 0.6256  1 Co 2.54, 1 Os 2.77
Ce: 0.8932 0.1068 0.2500  2 Co 2.67-2.85, 2 Os 2.74
Co: 0.3773 0.6227 0.2500  3 Ce 2.54-2.67
Co: 0.6227 0.3773 0.7500  3 Ce 2.54-2.67
Os: 0.0478 0.2750 0.0219  6 Ce 2.74-3.00, 1 Os 2.80, 1 Co 2.85
Os: 0.2750 0.0478 0.5219  6 Ce 2.74-3.00, 1 Os 2.80, 1 Co 2.85
Os: 0.7250 0.9522 0.4781  6 Ce 2.74-3.00, 1 Os 2.80, 1 Co 2.85
Os: 0.9522 0.7250 0.9781  6 Ce 2.74-3.00, 1 Os 2.80, 1 Co 2.85



Entry x
The following is a DFT calculation (PBE) of a relaxed Ce3CoOs2 crystal.

Output
- M_tot: 0.000 μB/atom
- SG: Pnma, No. 62

a b c (Å): 10.6156 4.3462 10.9173
angles (deg): 90.00 90.00 90.00
With the nearest neighbours (Å) after each atom.
Atoms (fractional coordinates):
Ce: 0.0603 0.2500 0.1042  4 Os 2.77-2.80, 1 Co 3.02
Ce: 0.0986 0.7500 0.5738  1 Co 2.34
Ce: 0.2215 0.2500 0.8130  2 Os 2.70-2.79, 2 Co 2.86
Ce: 0.2785 0.7500 0.3130  2 Os 2.70-2.79, 2 Co 2.86
Ce: 0.4014 0.2500 0.0738  1 Co 2.34
Ce: 0.4397 0.7500 0.6042  4 Os 2.77-2.80, 1 Co 3.02
Ce: 0.5603 0.2500 0.3958  4 Os 2.77-2.80, 1 Co 3.02
Ce: 0.5986 0.7500 0.9262  1 Co 2.34
Ce: 0.7215 0.2500 0.6870  2 Os 2.70-2.79, 2 Co 2.86
Ce: 0.7785 0.7500 0.1870  2 Os 2.70-2.79, 2 Co 2.86
Ce: 0.9014 0.2500 0.4262  1 Co 2.34
Ce: 0.9397 0.7500 0.8958  4 Os 2.77-2.80, 1 Co 3.02
Co: 0.1157 0.2500 0.3754  1 Ce 2.34, 1 Os 2.60
Co: 0.3843 0.7500 0.8754  1 Ce 2.34, 1 Os 2.60
Co: 0.6157 0.2500 0.1246  1 Ce 2.34, 1 Os 2.60
Co: 0.8843 0.7500 0.6246  1 Ce 2.34, 1 Os 2.60
Os: 0.0211 0.7500 0.2616  2 Co 2.70, 4 Ce 2.70-2.80
Os: 0.2100 0.7500 0.0428  1 Co 2.60, 2 Ce 2.77
Os: 0.2900 0.2500 0.5428  1 Co 2.60, 2 Ce 2.77
Os: 0.4789 0.2500 0.7616  2 Co 2.70, 4 Ce 2.70-2.80
Os: 0.5211 0.7500 0.2384  2 Co 2.70, 4 Ce 2.70-2.80
Os: 0.7100 0.7500 0.4572  1 Co 2.60, 2 Ce 2.77
Os: 0.7900 0.2500 0.9572  1 Co 2.60, 2 Ce 2.77
Os: 0.9789 0.2500 0.7384  2 Co 2.70, 4 Ce 2.70-2.80



Which of them is least stable? Easy: entry w.



Entry w
The following is a DFT calculation (PBE) of a relaxed CePaCoOs crystal.

Output
- M_tot: 0.000 μB/atom
- SG: Amm2, No. 38

a b c (Å): 3.8648 5.9047 5.9047
angles (deg): 37.26 90.00 90.00
With the nearest neighbours (Å) after each atom.
Atoms (fractional coordinates):
Ce: 0.0000 0.0000 0.0000  4 Co 2.73, 1 Os 3.03
Pa: 0.5000 0.7277 0.7277  4 Os 2.74, 1 Co 2.97
Co: 0.5000 0.4624 0.4624  4 Ce 2.73, 2 Os 2.89, 1 Pa 2.97
Os: 0.0000 0.2705 0.2705  4 Pa 2.74, 2 Co 2.89, 1 Ce 3.03



Entry x
The following is a DFT calculation (PBE) of a relaxed CePaCoOs crystal.

Output
- M_tot: 0.001 μB/atom
- SG: F-43m, No. 216

a b c (Å): 4.8112 4.8112 4.8112
angles (deg): 60.00 60.00 60.00
With the nearest neighbours (Å) after each atom.
Atoms (fractional coordinates):
Ce: 0.0000 0.0000 0.0000  4 Co 2.95, 4 Os 2.95
Pa: 0.5000 0.5000 0.5000  4 Os 2.95, 4 Co 2.95
Co: 0.2500 0.2500 0.2500  4 Pa 2.95, 4 Ce 2.95
Os: 0.7500 0.7500 0.7500  4 Pa 2.95, 4 Ce 2.95



Which of them is least stable? Easy: entry x.



Entry w
The following is a DFT calculation (PBE) of a relaxed CeCoP2 crystal.

Output
- M_tot: 0.028 μB/atom
- SG: I-4m2, No. 119

a b c (Å): 5.2456 5.2456 5.2456
angles (deg): 136.24 136.24 63.60
With the nearest neighbours (Å) after each atom.
Atoms (fractional coordinates):
Ce: 0.0000 0.0000 0.0000  4 Co 2.96, 10 P 3.00-3.29
Co: 0.2500 0.7500 0.5000  4 P 2.22
P: 0.3692 0.3692 0.0000  2 Co 2.22, 1 P 2.33
P: 0.6308 0.6308 0.0000  2 Co 2.22, 1 P 2.33



Entry x
The following is a DFT calculation (PBE) of a relaxed CeCoP2 crystal.

Output
- M_tot: 0.758 μB/atom
- SG: R-3m, No. 166

a b c (Å): 7.2549 7.2549 7.2549
angles (deg): 34.92 34.92 34.92
With the nearest neighbours (Å) after each atom.
Atoms (fractional coordinates):
Ce: 0.0000 0.0000 0.0000  6 P 2.81
Co: 0.5000 0.5000 0.5000  2 P 2.15
P: 0.3949 0.3949 0.3949  1 Co 2.15
P: 0.6051 0.6051 0.6051  1 Co 2.15



Which of them is least stable? Easy: entry x.



Entry w
The following is a DFT calculation (PBE) of a relaxed CePaCo crystal.

Output
- M_tot: 0.000 μB/atom
- SG: C2/m, No. 12

a b c (Å): 5.4855 5.4855 6.9901
angles (deg): 123.59 123.59 48.75
With the nearest neighbours (Å) after each atom.
Atoms (fractional coordinates):
Ce: 0.0749 0.0749 0.3185  2 Pa 2.91, 3 Co 3.02-3.05
Ce: 0.9251 0.9251 0.6815  2 Pa 2.91, 3 Co 3.02-3.05
Pa: 0.3625 0.3625 0.2344  1 Co 2.40
Pa: 0.6375 0.6375 0.7656  1 Co 2.40
Co: 0.3312 0.3312 0.8660  1 Pa 2.40, 1 Co 2.69
Co: 0.6688 0.6688 0.1340  1 Pa 2.40, 1 Co 2.69



Entry x
The following is a DFT calculation (PBE) of a relaxed CePaCo crystal.

Output
- M_tot: 0.000 μB/atom
- SG: P3m1, No. 156

a b c (Å): 4.3302 4.3302 3.8223
angles (deg): 90.00 90.00 120.00
With the nearest neighbours (Å) after each atom.
Atoms (fractional coordinates):
Ce: 0.0000 0.0000 0.0000  3 Co 2.86, 3 Pa 2.86
Pa: 0.3333 0.6667 0.3656  3 Co 2.71, 3 Ce 2.86
Co: 0.6667 0.3333 0.6364  3 Pa 2.71, 3 Ce 2.86



Entry y
The following is a DFT calculation (PBE) of a relaxed CePaCo crystal.

Output
- M_tot: 0.000 μB/atom
- SG: P2_1/c, No. 14

a b c (Å): 6.4473 6.0761 6.6958
angles (deg): 90.00 102.87 90.00
With the nearest neighbours (Å) after each atom.
Atoms (fractional coordinates):
Ce: 0.1054 0.1226 0.3011  1 Co 2.50
Ce: 0.1054 0.3774 0.8011  1 Co 2.50
Ce: 0.8946 0.6226 0.1989  1 Co 2.50
Ce: 0.8946 0.8774 0.6989  1 Co 2.50
Pa: 0.3507 0.6526 0.5612  1 Co 2.42
Pa: 0.3507 0.8474 0.0612  1 Co 2.42
Pa: 0.6493 0.1526 0.9388  1 Co 2.42
Pa: 0.6493 0.3474 0.4388  1 Co 2.42
Co: 0.3894 0.0947 0.6217  1 Pa 2.42, 1 Ce 2.50, 1 Co 2.66
Co: 0.3894 0.4053 0.1217  1 Pa 2.42, 1 Ce 2.50, 1 Co 2.66
Co: 0.6106 0.5947 0.8783  1 Pa 2.42, 1 Ce 2.50, 1 Co 2.66
Co: 0.6106 0.9053 0.3783  1 Pa 2.42, 1 Ce 2.50, 1 Co 2.66



Entry z
The following is a DFT calculation (PBE) of a relaxed CePaCo crystal.

Output
- M_tot: 0.000 μB/atom
- SG: P2_1/m, No. 11

a b c (Å): 5.3762 4.4022 5.5525
angles (deg): 90.00 99.88 90.00
With the nearest neighbours (Å) after each atom.
Atoms (fractional coordinates):
Ce: 0.0729 0.2500 0.2449  3 Co 2.72-3.04
Ce: 0.9271 0.7500 0.7551  3 Co 2.72-3.04
Pa: 0.4374 0.2500 0.8276  3 Co 2.57-2.66
Pa: 0.5626 0.7500 0.1724  3 Co 2.57-2.66
Co: 0.3563 0.7500 0.5573  3 Pa 2.57-2.66, 1 Ce 2.72, 2 Co 2.82
Co: 0.6437 0.2500 0.4427  3 Pa 2.57-2.66, 1 Ce 2.72, 2 Co 2.82



Which of them is least stable? Easy: entry x.



Entry w
The following is a DFT calculation (PBE) of a relaxed CePaCo2 crystal.

Output
- M_tot: 0.000 μB/atom
- SG: Fm-3m, No. 225

a b c (Å): 4.7002 4.7002 4.7002
angles (deg): 60.00 60.00 60.00
With the nearest neighbours (Å) after each atom.
Atoms (fractional coordinates):
Ce: 0.0000 0.0000 0.0000  8 Co 2.88
Pa: 0.5000 0.5000 0.5000  8 Co 2.88
Co: 0.2500 0.2500 0.2500  4 Ce 2.88, 4 Pa 2.88
Co: 0.7500 0.7500 0.7500  4 Ce 2.88, 4 Pa 2.88



Entry x
The following is a DFT calculation (PBE) of a relaxed CePaCo2 crystal.

Output
- M_tot: 0.000 μB/atom
- SG: Cmcm, No. 63

a b c (Å): 6.2396 6.2396 4.0979
angles (deg): 90.00 90.00 116.22
With the nearest neighbours (Å) after each atom.
Atoms (fractional coordinates):
Ce: 0.0932 0.9068 0.7500  2 Ce 2.85, 6 Co 2.85-2.95
Ce: 0.9068 0.0932 0.2500  2 Ce 2.85, 6 Co 2.85-2.95
Pa: 0.3819 0.6181 0.2500  4 Co 2.56
Pa: 0.6181 0.3819 0.7500  4 Co 2.56
Co: 0.1142 0.4433 0.7500  2 Pa 2.56, 2 Co 2.76, 2 Ce 2.85
Co: 0.4433 0.1142 0.2500  2 Pa 2.56, 2 Co 2.76, 2 Ce 2.85
Co: 0.5567 0.8858 0.7500  2 Pa 2.56, 2 Co 2.76, 2 Ce 2.85
Co: 0.8858 0.5567 0.2500  2 Pa 2.56, 2 Co 2.76, 2 Ce 2.85



Which of them is least stable? Easy: entry w.



Entry w
The following is a DFT calculation (PBE) of a relaxed CePaCo2 crystal.

Output
- M_tot: 0.145 μB/atom
- SG: P4/mmm, No. 123

a b c (Å): 3.3192 3.3192 6.8593
angles (deg): 90.00 90.00 90.00
With the nearest neighbours (Å) after each atom.
Atoms (fractional coordinates):
Ce: 0.0000 0.0000 0.0000  8 Co 3.13, 4 Ce 3.32, 2 Pa 3.43
Pa: 0.0000 0.0000 0.5000  8 Co 2.71
Co: 0.5000 0.5000 0.3023  4 Pa 2.71, 1 Co 2.71
Co: 0.5000 0.5000 0.6977  4 Pa 2.71, 1 Co 2.71



Entry x
The following is a DFT calculation (PBE) of a relaxed CePaCo2 crystal.

Output
- M_tot: 0.000 μB/atom
- SG: P4/mmm, No. 123

a b c (Å): 4.7397 4.7397 3.2718
angles (deg): 90.00 90.00 90.00
With the nearest neighbours (Å) after each atom.
Atoms (fractional coordinates):
Ce: 0.0000 0.0000 0.0000  8 Co 2.88
Pa: 0.5000 0.5000 0.0000  8 Co 2.88
Co: 0.0000 0.5000 0.5000  4 Pa 2.88, 4 Ce 2.88
Co: 0.5000 0.0000 0.5000  4 Pa 2.88, 4 Ce 2.88



Entry y
The following is a DFT calculation (PBE) of a relaxed CePaCo2 crystal.

Output
- M_tot: 0.000 μB/atom
- SG: R-3m, No. 166

a b c (Å): 6.6961 6.6961 6.6961
angles (deg): 32.83 32.83 32.83
With the nearest neighbours (Å) after each atom.
Atoms (fractional coordinates):
Ce: 0.0000 0.0000 0.0000  6 Co 2.74
Pa: 0.5000 0.5000 0.5000  6 Co 2.65
Co: 0.2460 0.2460 0.2460  3 Pa 2.65, 3 Ce 2.74
Co: 0.7540 0.7540 0.7540  3 Pa 2.65, 3 Ce 2.74



Which of them is least stable? Easy: entry x.



Entry w
The following is a DFT calculation (PBE) of a relaxed Ce3CoPb crystal.

Output
- M_tot: 0.265 μB/atom
- SG: P-1, No. 2

a b c (Å): 5.6899 6.5984 8.6193
angles (deg): 110.38 90.01 115.46
With the nearest neighbours (Å) after each atom.
Atoms (fractional coordinates):
Ce: 0.1047 0.2097 0.2390  2 Co 2.59-2.74
Ce: 0.1253 0.2511 0.6214  1 Co 2.69, 1 Ce 2.92
Ce: 0.3549 0.7095 0.0637  1 Co 2.50
Ce: 0.6451 0.2905 0.9363  1 Co 2.50
Ce: 0.8747 0.7489 0.3786  1 Co 2.69, 1 Ce 2.92
Ce: 0.8953 0.7903 0.7610  2 Co 2.59-2.74
Co: 0.1273 0.2548 0.9341  4 Ce 2.50-2.74
Co: 0.8727 0.7452 0.0659  4 Ce 2.50-2.74
Pb: 0.3927 0.7851 0.5723  1 Pb 3.25, 7 Ce 3.26-3.52
Pb: 0.6073 0.2149 0.4277  1 Pb 3.25, 7 Ce 3.26-3.52



Entry x
The following is a DFT calculation (PBE) of a relaxed Ce3CoPb crystal.

Output
- M_tot: 0.474 μB/atom
- SG: Pm-3m, No. 221

a b c (Å): 5.1619 5.1619 5.1619
angles (deg): 90.00 90.00 90.00
With the nearest neighbours (Å) after each atom.
Atoms (fractional coordinates):
Ce: 0.0000 0.0000 0.5000  2 Co 2.58
Ce: 0.0000 0.5000 0.0000  2 Co 2.58
Ce: 0.5000 0.0000 0.0000  2 Co 2.58
Co: 0.0000 0.0000 0.0000  6 Ce 2.58
Pb: 0.5000 0.5000 0.5000  12 Ce 3.65



Which of them is least stable? Easy: entry w.